A plane-wave DFT calculation with GGA-PBE was carried out for crystalline RbMnAs2Au at its relaxed geometry.

Results
energy: -4.781 eV/atom
M_tot: 3.0 μB per formula unit
ΔE_f: -0.239 eV per atom

a = 5.8552 Å, b = 5.9594 Å, c = 7.9750 Å
α = 111.94°, β = 90.00°, γ = 90.00°
Fractional coordinates of all 10 atoms:
As  0.3283  0.3898  0.7796
As  0.6717  0.6102  0.2204
As  0.3283  0.1102  0.2204
As  0.6717  0.8898  0.7796
Au  0.0000  0.5000  0.0000
Au  0.0000  0.0000  0.0000
Rb  0.7923  0.2500  0.5000
Rb  0.2077  0.7500  0.5000
Mn  0.5000  0.7500  0.0000
Mn  0.5000  0.2500  0.0000